[1]
Density functional theory data (GGA-PBE) for a relaxed TaSe2Br crystal. Values from VASP.

Computed properties:
size of the total moment	0.00	μB per formula unit
E_form (uncorrected)	-246	kJ/mol of formula units
polymorph energy (0 for the lowest one)	50.3	meV per atom

```
&SYSTEM
  ibrav = 0, nat = 4, ntyp = 3
/
ATOMIC_SPECIES
Se 78.96 Se.upf
Br 79.90 Br.upf
Ta 180.95 Ta.upf
ATOMIC_POSITIONS crystal
Se 0.848 0.848 0.630
Br 0.154 0.154 0.329
Ta 0.495 0.495 0.634
Se 0.003 0.003 0.908
CELL_PARAMETERS angstrom
6.914 -0.006 0.085
6.179 3.103 0.085
3.584 0.848 6.073
```

[2]
Density functional theory data (GGA-PBE) for a relaxed TaV6Ga2 crystal. Values from VASP.

Computed properties:
size of the total moment	0.00	μB per formula unit
DFT formation energy	55	meV per atom

```
&SYSTEM
  ibrav = 0, nat = 9, ntyp = 3
/
ATOMIC_SPECIES
V 50.94 V.upf
Ga 69.72 Ga.upf
Ta 180.95 Ta.upf
ATOMIC_POSITIONS crystal
V 0.500 0.666 0.334
V 0.333 0.995 0.339
V 0.667 0.661 0.005
Ga 0.841 0.659 0.659
V 0.333 0.339 0.995
V 0.667 0.005 0.661
Ga 0.159 0.341 0.341
V 0.500 0.334 0.666
Ta 0.000 0.000 0.000
CELL_PARAMETERS angstrom
-0.449 2.462 -0.707
-3.509 -1.238 -6.863
-7.771 -0.245 -0.697
```

[3]
Density functional theory data (GGA-PBE) for a relaxed KAlZnCl6 crystal. Values from VASP.

Computed properties:
size of the total moment	0.00	μB per formula unit
E_form (uncorrected)	-1287	kJ/mol of formula units

```
&SYSTEM
  ibrav = 0, nat = 18, ntyp = 4
/
ATOMIC_SPECIES
Cl 35.45 Cl.upf
Al 26.98 Al.upf
Zn 65.41 Zn.upf
K 39.10 K.upf
ATOMIC_POSITIONS crystal
Cl 0.363 0.379 0.847
Cl 0.621 0.637 0.653
Al 0.333 0.667 0.750
Cl 0.984 0.621 0.347
Zn 0.667 0.333 0.750
K 0.000 0.000 0.000
Al 0.667 0.333 0.250
Zn 0.333 0.667 0.250
Cl 0.621 0.984 0.847
Cl 0.379 0.363 0.347
Cl 0.016 0.379 0.653
Cl 0.016 0.637 0.847
Cl 0.984 0.363 0.153
Cl 0.637 0.621 0.153
Cl 0.379 0.016 0.153
Cl 0.363 0.984 0.653
K 0.000 0.000 0.500
Cl 0.637 0.016 0.347
CELL_PARAMETERS angstrom
6.313 0.000 0.000
-3.156 5.467 0.000
0.000 0.000 14.074
```